# 1
{
  "formula": "SrCdMo2",
  "functional": "PBE",
  "state": "optimized geometry",
  "ef_mev_per_atom": 922,
  "relative_energy_mev_per_atom": 557.0,
  "lattice_angstrom": [[-1.545, 2.495, 5.457], [1.545, -2.495, 5.457], [1.545, 2.495, -5.457]],
  "species": ["Sr", "Cd", "Mo", "Mo"],
  "fractional_positions": [[0.000, 0.000, 0.000], [0.500, 0.500, 0.000], [0.267, 0.767, 0.500], [0.733, 0.233, 0.500]]
}



# 2
{
  "formula": "SrCd2Mo",
  "functional": "PBE",
  "state": "optimized geometry",
  "ef_mev_per_atom": 604,
  "relative_energy_mev_per_atom": 210.4,
  "lattice_angstrom": [[-2.279, 2.279, 4.712], [2.279, -2.279, 4.712], [2.279, 2.279, -4.712]],
  "species": ["Sr", "Cd", "Cd", "Mo"],
  "fractional_positions": [[0.000, 0.000, 0.000], [0.250, 0.750, 0.500], [0.500, 0.500, 0.000], [0.750, 0.250, 0.500]]
}



# 3
{
  "formula": "SrCd3Mo",
  "functional": "PBE",
  "state": "optimized geometry",
  "ef_mev_per_atom": 466,
  "relative_energy_mev_per_atom": 0.0,
  "lattice_angstrom": [[5.311, 0.000, 0.000], [0.000, 5.311, 0.000], [0.000, 0.000, 5.311]],
  "species": ["Sr", "Cd", "Cd", "Cd", "Mo"],
  "fractional_positions": [[0.000, 0.000, 0.000], [0.000, 0.500, 0.500], [0.500, 0.000, 0.500], [0.500, 0.500, 0.000], [0.500, 0.500, 0.500]]
}



# 4
{
  "formula": "Sr2CdMo",
  "functional": "PBE",
  "state": "optimized geometry",
  "ef_mev_per_atom": 655,
  "relative_energy_mev_per_atom": 106.4,
  "lattice_angstrom": [[2.348, -2.353, 0.000], [2.348, 2.353, 0.000], [0.000, 0.000, 10.103]],
  "species": ["Sr", "Sr", "Cd", "Mo"],
  "fractional_positions": [[0.000, 0.000, 0.235], [0.000, 0.000, 0.765], [0.500, 0.500, 0.500], [0.500, 0.500, 0.000]]
}



# 5
{
  "formula": "SrZnCd2Mo",
  "functional": "PBE",
  "state": "optimized geometry",
  "ef_mev_per_atom": 898,
  "lattice_angstrom": [[5.433, 0.000, 0.000], [0.000, 5.433, 0.000], [0.000, 0.000, 5.908]],
  "species": ["Sr", "Zn", "Cd", "Cd", "Mo"],
  "fractional_positions": [[0.000, 0.000, 0.000], [0.500, 0.500, 0.000], [0.000, 0.500, 0.500], [0.500, 0.000, 0.500], [0.000, 0.000, 0.500]]
}



# 6
{
  "formula": "Ta2CdMo",
  "functional": "PBE",
  "state": "optimized geometry",
  "ef_mev_per_atom": 329,
  "lattice_angstrom": [[2.782, 0.000, 0.000], [0.000, 4.491, 0.000], [0.000, 0.000, 5.849]],
  "species": ["Ta", "Ta", "Cd", "Mo"],
  "fractional_positions": [[0.000, 0.000, 0.000], [0.500, 0.500, 0.245], [0.000, 0.000, 0.507], [0.500, 0.500, 0.770]]
}



# 7
{
  "formula": "TaCdMo2",
  "functional": "PBE",
  "state": "optimized geometry",
  "ef_mev_per_atom": 268,
  "lattice_angstrom": [[-1.675, 2.295, 4.542], [1.675, -2.295, 4.542], [1.675, 2.295, -4.542]],
  "species": ["Ta", "Cd", "Mo", "Mo"],
  "fractional_positions": [[0.000, 0.000, 0.000], [0.271, 0.771, 0.500], [0.536, 0.536, 0.000], [0.759, 0.259, 0.500]]
}



# 8
{
  "formula": "Ta2CdMo",
  "functional": "PBE",
  "state": "optimized geometry",
  "ef_mev_per_atom": 283,
  "lattice_angstrom": [[-2.165, 2.165, 3.829], [2.165, -2.165, 3.829], [2.165, 2.165, -3.829]],
  "species": ["Ta", "Ta", "Cd", "Mo"],
  "fractional_positions": [[0.250, 0.750, 0.500], [0.750, 0.250, 0.500], [0.000, 0.000, 0.000], [0.500, 0.500, 0.000]]
}



Calculated total energy in eV for the cell shown, matching the order above: -20.57; -11.93; -12.93; -12.49; -11.13; -34.14; -33.36; -34.32
Spin magnetization in μB per formula unit, matching the order above: 0.0; 2.7; 0.0; 0.0; 2.9; 0.0; 0.0; 0.0